KNa3P2Au2: relaxed, PBE.

Calculated values
* VASP energy: -26.0 eV per cell
* SG: Pm, No. 6

a b c (Å): 5.637 6.040 5.798
angles (deg): 90.00 104.71 90.00
Fractional positions:
K1 0.000 0.000 0.000
Na1 0.069 0.500 0.354
Na2 0.350 0.000 0.643
Na3 0.699 0.500 0.706
P1 0.262 0.500 0.901
P2 0.783 0.000 0.455
Au1 0.535 0.254 0.177
Au2 0.535 0.746 0.177